1.
ZrAl2Bi2: optimized geometry, PBE-GGA.

## Properties
DFT formation energy	239	meV/atom
relative energy among the computed polymorphs	0.122	eV/atom

Cell lengths 7.816, 7.816, 4.108 Å; angles 90.00, 90.00, 90.00 degrees
Element x y z (fractional)
Zr1 0.000 0.000 0.000
Zr2 0.500 0.500 0.000
Al1 0.152 0.348 0.500
Al2 0.348 0.848 0.500
Al3 0.652 0.152 0.500
Al4 0.848 0.652 0.500
Bi1 0.153 0.653 0.000
Bi2 0.347 0.153 0.000
Bi3 0.653 0.847 0.000
Bi4 0.847 0.347 0.000

2.
Zr8AlBi2: optimized geometry, PBE-GGA.

## Properties
DFT formation energy	-69	meV/atom

Cell lengths 7.871, 7.871, 5.478 Å; angles 101.51, 101.51, 122.15 degrees
Element x y z (fractional)
Zr1 0.101 0.311 0.675
Zr2 0.212 0.788 0.000
Zr3 0.311 0.101 0.675
Zr4 0.400 0.400 0.207
Zr5 0.600 0.600 0.793
Zr6 0.689 0.899 0.325
Zr7 0.788 0.212 0.000
Zr8 0.899 0.689 0.325
Al1 0.000 0.000 0.000
Bi1 0.302 0.698 0.500
Bi2 0.698 0.302 0.500

3.
ZrAlBi: optimized geometry, PBE-GGA.

## Properties
DFT formation energy	-225	meV/atom

Cell lengths 4.049, 4.049, 8.587 Å; angles 90.00, 90.00, 90.00 degrees
Element x y z (fractional)
Zr1 0.250 0.250 0.239
Zr2 0.750 0.750 0.761
Al1 0.250 0.750 0.500
Al2 0.750 0.250 0.500
Bi1 0.250 0.250 0.855
Bi2 0.750 0.750 0.145

4.
AlBr: optimized geometry, PBE-GGA.

## Properties
energy relative to the elements, uncorrected	-0.1089	eV/atom

Cell lengths 9.369, 9.369, 6.146 Å; angles 90.00, 90.00, 120.00 degrees
Element x y z (fractional)
Al1 0.013 0.330 0.250
Al2 0.317 0.987 0.250
Al3 0.330 0.317 0.750
Al4 0.670 0.683 0.250
Al5 0.683 0.013 0.750
Al6 0.987 0.670 0.750
Br1 0.070 0.641 0.250
Br2 0.359 0.429 0.250
Br3 0.429 0.070 0.750
Br4 0.571 0.930 0.250
Br5 0.641 0.571 0.750
Br6 0.930 0.359 0.750

5.
AlBr: optimized geometry, PBE-GGA.

## Properties
energy relative to the elements, uncorrected	-0.1548	eV/atom

Cell lengths 5.388, 5.388, 13.058 Å; angles 90.00, 90.00, 120.00 degrees
Element x y z (fractional)
Al1 0.000 0.000 0.110
Al2 0.000 0.000 0.890
Al3 0.333 0.667 0.158
Al4 0.333 0.667 0.374
Al5 0.667 0.333 0.626
Al6 0.667 0.333 0.842
Br1 0.000 0.000 0.302
Br2 0.000 0.000 0.698
Br3 0.333 0.667 0.568
Br4 0.333 0.667 0.887
Br5 0.667 0.333 0.113
Br6 0.667 0.333 0.432

6.
AlBr: optimized geometry, PBE-GGA.

## Properties
energy relative to the elements, uncorrected	-0.2279	eV/atom

Cell lengths 4.970, 4.970, 5.112 Å; angles 90.00, 90.00, 120.00 degrees
Element x y z (fractional)
Al1 0.000 0.000 0.000
Al2 0.000 0.000 0.500
Br1 0.333 0.667 0.250
Br2 0.667 0.333 0.750

7.
AlBr: optimized geometry, PBE-GGA.

## Properties
energy relative to the elements, uncorrected	0.1530	eV/atom

Cell lengths 5.291, 5.291, 5.291 Å; angles 60.00, 60.00, 60.00 degrees
Element x y z (fractional)
Al1 0.125 0.125 0.125
Al2 0.875 0.875 0.875
Br1 0.375 0.375 0.375
Br2 0.625 0.625 0.625

8.
AlBr3: optimized geometry, PBE-GGA.

## Properties
energy relative to the elements, uncorrected	0.0096	eV/atom

Cell lengths 3.953, 6.773, 4.434 Å; angles 90.00, 90.00, 90.00 degrees
Element x y z (fractional)
Al1 0.000 0.000 0.000
Br1 0.000 0.500 0.263
Br2 0.500 0.000 0.395
Br3 0.500 0.500 0.764

Theoretical density (g/cm3)
7.45; 7.45; 7.72; 2.28; 3.24; 3.25; 3.39; 3.73